DFT (PBE-GGA) results for a geometry-optimized InAgCl2 structure.

Space-group type: Immm
Uncorrected formation energy (eV per atom): -0.5485

Cell: 5.5933 5.5933 5.5933 Å, 137.15 110.36 85.35°
Last column: nearest neighbours and their distance in Å.
Fractional coordinates of all 4 atoms:
Cl: 0.0415 0.0415 0.0000  2 Ag 2.67
Cl: 0.4585 0.4585 0.0000  2 Ag 2.67
Ag: 0.2500 0.7500 0.5000  4 Cl 2.67
In: 0.7500 0.2500 0.5000  4 Cl 3.15